Entry 1:
Material: Tb2Nd3Y6Th
Method: DFT, PBE-GGA
State: optimized geometry

**E**: -5.80 eV/atom
**Energy relative to the elements**: 19 meV/atom

The structure in POSCAR format:
```
Tb2Nd3Y6Th
1.0
6.242 0.000 0.008
-3.119 5.407 0.008
-1.057 -1.830 11.683
Y Th Tb Nd
6 1 2 3
Direct
0.083 0.412 0.246
0.753 0.753 0.247
0.917 0.588 0.754
0.588 0.917 0.754
0.412 0.083 0.246
0.247 0.247 0.753
0.000 0.000 0.000
0.333 0.667 0.000
0.667 0.333 0.000
0.833 0.167 0.500
0.167 0.833 0.500
0.500 0.500 0.500
```



Entry 2:
Material: Tb3NdY6Th2
Method: DFT, PBE-GGA
State: optimized geometry

**E**: -5.99 eV/atom
**Energy relative to the elements**: 30 meV/atom

The structure in POSCAR format:
```
Tb3NdY6Th2
1.0
-2.159 1.104 5.724
5.854 -1.938 -0.791
2.311 11.311 -2.438
Th Y Tb Nd
2 6 3 1
Direct
0.333 0.667 0.000
0.667 0.333 0.000
0.917 0.579 0.752
0.579 0.917 0.752
0.745 0.745 0.248
0.255 0.255 0.752
0.083 0.421 0.248
0.421 0.083 0.248
0.166 0.834 0.500
0.500 0.500 0.500
0.834 0.166 0.500
0.000 0.000 0.000
```



Entry 3:
Material: Tb2Nd2Y6Th
Method: DFT, PBE-GGA
State: optimized geometry

**E**: -5.76 eV/atom
**Energy relative to the elements**: 145 meV/atom

The structure in POSCAR format:
```
Tb2Nd2Y6Th
1.0
6.636 -0.597 -0.472
-3.799 5.474 -0.472
-1.949 -3.350 11.473
Tb Y Th Nd
2 6 1 2
Direct
0.702 0.298 0.500
0.298 0.702 0.500
0.864 0.561 0.213
0.439 0.136 0.787
0.709 0.709 0.708
0.136 0.439 0.787
0.291 0.291 0.292
0.561 0.864 0.213
0.000 0.000 0.500
0.865 0.135 0.000
0.135 0.865 0.000
```



Entry 4:
Material: Tb2Nd6YTh
Method: DFT, PBE-GGA
State: optimized geometry

**E**: -5.03 eV/atom
**Energy relative to the elements**: 141 meV/atom

The structure in POSCAR format:
```
Tb2Nd6YTh
1.0
-6.421 5.685 -4.821
-5.836 -6.563 1.421
1.216 5.814 6.623
Nd Th Tb Y
12 2 4 2
Direct
0.686 0.013 0.575
0.814 0.425 0.987
0.944 0.890 0.243
0.380 0.511 0.297
0.186 0.575 0.013
0.120 0.703 0.489
0.056 0.110 0.757
0.620 0.489 0.703
0.880 0.297 0.511
0.314 0.987 0.425
0.556 0.757 0.110
0.444 0.243 0.890
0.250 0.973 0.027
0.750 0.027 0.973
0.048 0.290 0.199
0.952 0.710 0.801
0.548 0.199 0.290
0.452 0.801 0.710
0.250 0.408 0.592
0.750 0.592 0.408
```